A relaxed structure of NaSmEuWO6. Source: the Alexandria database, functional GGA+U.

Results
- crystal system = cubic
- calculated total energy (eV per atom) = -7.8508

a b c (Å): 5.973 5.973 5.973
angles (deg): 60.00 60.00 60.00
Fractional coordinates of all 10 atoms:
Na 0.000 0.000 0.000
Sm 0.250 0.250 0.250
Eu 0.500 0.500 0.500
W 0.750 0.750 0.750
O 0.519 0.519 0.981
O 0.519 0.981 0.519
O 0.519 0.981 0.981
O 0.981 0.519 0.519
O 0.981 0.519 0.981
O 0.981 0.981 0.519